Entry 1:
CeNd4Th | PBE | optimized geometry

Cell: 6.2833 10.9217 6.2820 Å, 90.00 109.77 90.00°
Last column: nearest neighbours and their distance in Å.
Space group C2/m (No. 12)
Inequivalent atoms, fractional coordinates:
1 Ce 0.0000 0.0000 0.0000 (multiplicity 2)  10 Nd 3.61-3.69, 2 Th 3.61
2 Nd 0.0000 0.1638 0.5000 (multiplicity 4)  7 Nd 3.58-3.67, 2 Ce 3.61, 3 Th 3.62-3.67
3 Nd 0.0000 0.3376 0.0000 (multiplicity 4)  7 Nd 3.55-3.68, 2 Th 3.61, 3 Ce 3.61-3.69
4 Th 0.0000 0.5000 0.5000 (multiplicity 2)  10 Nd 3.61-3.67, 2 Ce 3.61

Properties
The formation energy from the elements is 0.09 eV per atom.



Entry 2:
CrPOsCl2 | PBE | optimized geometry

Cell: 4.9617 4.9617 4.4752 Å, 90.00 90.00 90.00°
Last column: nearest neighbours and their distance in Å.
Space group P4/mmm (No. 123)
Inequivalent atoms, fractional coordinates:
1 Cr 0.0000 0.0000 0.0000 (multiplicity 1)  8 Cl 3.34, 4 P 3.51
2 P 0.5000 0.5000 0.0000 (multiplicity 1)  2 Os 2.24
3 Os 0.5000 0.5000 0.5000 (multiplicity 1)  2 P 2.24, 4 Cl 2.48
4 Cl 0.0000 0.5000 0.5000 (multiplicity 2)  2 Os 2.48

Properties
The offset from the most stable computed form comes out at 0.0000 eV per atom. Its raw formation energy is 3.1 eV/f.u.



Entry 3:
YBr | PBE | optimized geometry

Cell: 6.2363 6.6417 10.4690 Å, 90.00 90.00 90.00°
Last column: nearest neighbours and their distance in Å.
Space group P2_12_12_1 (No. 19)
Inequivalent atoms, fractional coordinates:
1 Y 0.0954 0.0810 0.1950 (multiplicity 4)  5 Br 2.95-3.06
2 Y 0.1354 0.6932 0.9675 (multiplicity 4)  4 Br 2.97-3.15, 2 Y 3.28
3 Br 0.1577 0.5207 0.7065 (multiplicity 4)  4 Y 2.97-3.15
4 Br 0.1718 0.8771 0.4428 (multiplicity 4)  5 Y 2.95-3.11

Properties
Its raw formation energy is -1.9 eV/f.u.



Entry 4:
SrCo2Bi2 | PBE | optimized geometry

Cell: 4.5292 4.5292 11.5948 Å, 90.00 90.00 90.00°
Last column: nearest neighbours and their distance in Å.
Space group I4/mmm (No. 139)
Inequivalent atoms, fractional coordinates:
1 Sr 0.0000 0.0000 0.0000 (multiplicity 2)  8 Bi 3.60, 8 Co 3.68
2 Co 0.0000 0.5000 0.2500 (multiplicity 4)  4 Bi 2.59
3 Bi 0.0000 0.0000 0.3589 (multiplicity 4)  4 Co 2.59

Properties
The formation energy from the elements is -0.05 eV per atom.



Entry 5:
BeTcCl2 | PBE | optimized geometry

Cell: 6.3298 3.0786 7.8272 Å, 90.00 96.42 90.00°
Last column: nearest neighbours and their distance in Å.
Space group Cm (No. 8)
Inequivalent atoms, fractional coordinates:
1 Be 0.0000 0.0000 0.0000 (multiplicity 2)  2 Cl 2.10, 1 Tc 2.22
2 Tc 0.2682 0.0000 0.8391 (multiplicity 2)  3 Be 2.22-2.39, 3 Cl 2.37-2.48
3 Cl 0.2239 0.5000 0.6068 (multiplicity 2)  2 Tc 2.37
4 Cl 0.3930 0.0000 0.1509 (multiplicity 2)  2 Be 2.10

Properties
The offset from the most stable computed form comes out at 0.0730 eV per atom. Its raw formation energy is -0.7 eV/f.u.



Entry 6:
BeBP | PBE | optimized geometry

Cell: 10.0311 3.2096 4.1225 Å, 90.00 92.83 90.00°
Last column: nearest neighbours and their distance in Å.
Space group C2/m (No. 12)
Inequivalent atoms, fractional coordinates:
1 Be 0.1243 0.0000 0.1777 (multiplicity 4)  3 B 2.03-2.27, 1 P 2.19
2 B 0.0633 0.0000 0.6396 (multiplicity 4)  1 B 1.67
3 P 0.1571 0.5000 0.7914 (multiplicity 4)  2 B 1.95

Properties
The formation energy from the elements is 0.02 eV per atom. The offset from the most stable computed form comes out at 0.0144 eV per atom.



Entry 7:
KMnRh2 | PBE | optimized geometry

Cell: 5.8240 9.3539 2.7853 Å, 90.00 113.47 90.00°
Last column: nearest neighbours and their distance in Å.
Space group C2/m (No. 12)
Inequivalent atoms, fractional coordinates:
1 K 0.0000 0.0000 0.0000 (multiplicity 2)  2 K 2.79, 4 Rh 2.81, 2 Mn 2.91
2 Mn 0.0000 0.5000 0.0000 (multiplicity 2)  2 Mn 2.79, 4 Rh 2.81, 2 K 2.91
3 Rh 0.2500 0.2500 0.5000 (multiplicity 4)  4 Rh 2.79-2.91, 2 Mn 2.81, 2 K 2.81

Properties
The formation energy from the elements is 0.76 eV per atom. The offset from the most stable computed form comes out at 0.4896 eV per atom.



Entry 8:
La3AlAg2 | PBE | optimized geometry

Cell: 3.8043 3.8043 11.5242 Å, 90.00 90.00 90.00°
Last column: nearest neighbours and their distance in Å.
Space group P4/mmm (No. 123)
Inequivalent atoms, fractional coordinates:
1 La 0.0000 0.0000 0.0000 (multiplicity 1)  8 Ag 3.33
2 La 0.0000 0.0000 0.3381 (multiplicity 2)  4 Al 3.27, 4 Ag 3.32
3 Al 0.5000 0.5000 0.5000 (multiplicity 1)  8 La 3.27
4 Ag 0.5000 0.5000 0.1698 (multiplicity 2)  8 La 3.32-3.33

Properties
The formation energy from the elements is -0.30 eV per atom. The offset from the most stable computed form comes out at 0.0000 eV per atom.



Entry 9:
KNiCl6 | PBE | optimized geometry

Cell: 9.3964 9.3964 8.1888 Å, 90.00 90.00 120.00°
Last column: nearest neighbours and their distance in Å.
Space group R-3m (No. 166, hexagonal axes)
Inequivalent atoms, fractional coordinates:
1 K 0.0000 0.0000 0.0000 (multiplicity 3)  12 Cl 3.33-3.62
2 Ni 0.0000 0.0000 0.5000 (multiplicity 3)  6 Cl 2.23
3 Cl 0.1110 0.2220 0.6590 (multiplicity 18)  1 Ni 2.23

Properties
The offset from the most stable computed form comes out at 0.0173 eV per atom. Its raw formation energy is -4.9 eV/f.u.



Entry 10:
TmSc2Ni9 | PBE | optimized geometry

Cell: 4.8609 4.8609 23.7839 Å, 90.00 90.00 120.00°
Last column: nearest neighbours and their distance in Å.
Space group R-3m (No. 166, hexagonal axes)
Inequivalent atoms, fractional coordinates:
1 Tm 0.0000 0.0000 0.0000 (multiplicity 3)  6 Ni 2.81
2 Sc 0.0000 0.0000 0.1406 (multiplicity 6)  12 Ni 2.77-2.93, 3 Sc 3.07
3 Ni 0.0000 0.0000 0.3333 (multiplicity 6)  6 Ni 2.44-2.45
4 Ni 0.0000 0.0000 0.5000 (multiplicity 3)  6 Ni 2.42
5 Ni 0.0028 0.5014 0.9157 (multiplicity 18)  7 Ni 2.41-2.45

Properties
The formation energy from the elements is -0.46 eV per atom.



Entry 11:
Pu2Re3Os | PBE | optimized geometry

Cell: 9.0309 5.2714 5.5097 Å, 90.00 122.25 90.00°
Last column: nearest neighbours and their distance in Å.
Space group C2/m (No. 12)
Inequivalent atoms, fractional coordinates:
1 Pu 0.1270 0.0000 0.3843 (multiplicity 4)  3 Os 3.07-3.08, 9 Re 3.16-3.26, 3 Pu 3.16-3.24
2 Re 0.0000 0.5000 0.0000 (multiplicity 2)  4 Re 2.61, 2 Os 2.75
3 Re 0.2500 0.2500 0.0000 (multiplicity 4)  4 Re 2.61-2.64, 2 Os 2.79
4 Os 0.0000 0.5000 0.5000 (multiplicity 2)  6 Re 2.75-2.79, 6 Pu 3.07-3.08

Properties
The formation energy from the elements is 0.02 eV per atom.



Entry 12:
LaBe3Cl | PBE | optimized geometry

Cell: 5.7060 5.7060 5.7060 Å, 90.00 90.00 90.00°
Last column: nearest neighbours and their distance in Å.
Space group Pm-3m (No. 221)
Inequivalent atoms, fractional coordinates:
1 La 0.0000 0.0000 0.0000 (multiplicity 1)  6 Be 2.85
2 Be 0.0000 0.0000 0.5000 (multiplicity 3)  2 La 2.85
3 Cl 0.5000 0.5000 0.5000 (multiplicity 1)  12 Be 4.03

Properties
The offset from the most stable computed form comes out at 0.8181 eV per atom. Its raw formation energy is 8.8 eV/f.u.



Entry 13:
GeHW | PBE | optimized geometry

Cell: 3.2951 4.8124 5.2091 Å, 106.68 90.28 109.98°
Last column: nearest neighbours and their distance in Å.
Space group P-1 (No. 2)
Inequivalent atoms, fractional coordinates:
1 Ge 0.1662 0.3344 0.3198 (multiplicity 2)  2 H 2.42-2.43, 5 W 2.58-2.67, 2 Ge 2.60
2 H 0.4595 0.9230 0.2398 (multiplicity 2)  2 W 1.84
3 W 0.1362 0.2686 0.8096 (multiplicity 2)  2 H 1.84

Properties
The offset from the most stable computed form comes out at 0.0000 eV per atom.